Compound: ScWCl2
Source: Alexandria via LeMat-Bulk
Functional: meta-GGA SCAN
Structure: PBEsol geometry

a = 6.310 Å, b = 6.310 Å, c = 6.310 Å
α = 90.00°, β = 90.00°, γ = 90.00°
Space group Fm-3m (No. 225)
Inequivalent atoms, fractional coordinates:
Sc: 0.000 0.000 0.000 x4
W: 0.000 0.000 0.500 x4
Cl: 0.250 0.250 0.250 x8

Properties
Excess energy over the best structure of this formula in the dataset: 47.2 kJ per mole of atoms
Formation energy without anion corrections: 396 meV/atom



Compound: KLaIr2
Source: Alexandria via LeMat-Bulk
Functional: meta-GGA SCAN
Structure: PBEsol geometry

a = 9.683 Å, b = 4.619 Å, c = 6.920 Å
α = 90.00°, β = 120.65°, γ = 90.00°
Space group C2/m (No. 12)
Inequivalent atoms, fractional coordinates:
K: 0.000 0.000 0.000 x2
La: 0.000 0.500 0.500 x2
Ir: 0.247 0.000 0.551 x4

Properties
Excess energy over the best structure of this formula in the dataset: 0.0 kJ per mole of atoms
ΔE_f: -0.041 eV per atom



Compound: CaAl3Pd
Source: Alexandria via LeMat-Bulk
Functional: meta-GGA SCAN
Structure: PBEsol geometry

a = 5.242 Å, b = 5.242 Å, c = 5.242 Å
α = 90.00°, β = 90.00°, γ = 90.00°
Space group Pm-3m (No. 221)
Inequivalent atoms, fractional coordinates:
Ca: 0.000 0.000 0.000 x1
Al: 0.000 0.000 0.500 x3
Pd: 0.500 0.500 0.500 x1

Properties
ΔE_f: 1.635 eV per atom



Compound: NaLa2CdCo
Source: Alexandria via LeMat-Bulk
Functional: meta-GGA SCAN
Structure: PBEsol geometry

a = 5.866 Å, b = 5.866 Å, c = 5.059 Å
α = 90.00°, β = 90.00°, γ = 90.00°
Space group P4/mmm (No. 123)
Inequivalent atoms, fractional coordinates:
Na: 0.000 0.000 0.000 x1
La: 0.000 0.500 0.500 x2
Cd: 0.000 0.000 0.500 x1
Co: 0.500 0.500 0.000 x1

Properties
ΔE_f: 0.681 eV per atom



Compound: V2Pb2O7
Source: Alexandria via LeMat-Bulk
Functional: meta-GGA SCAN
Structure: PBEsol geometry

a = 7.063 Å, b = 7.129 Å, c = 13.357 Å
α = 90.00°, β = 106.49°, γ = 90.00°
Space group P2_1/c (No. 14)
Inequivalent atoms, fractional coordinates:
V: 0.112 0.176 0.416 x4
V: 0.293 0.063 0.110 x4
Pb: 0.169 0.682 0.343 x4
Pb: 0.455 0.599 0.134 x4
O: 0.094 0.204 0.031 x4
O: 0.108 0.587 0.155 x4
O: 0.205 0.177 0.844 x4
O: 0.223 0.520 0.710 x4
O: 0.281 0.504 0.952 x4
O: 0.346 0.617 0.539 x4
O: 0.499 0.198 0.162 x4

Properties
Formation energy without anion corrections: -2164 meV/atom



Compound: MgZn4
Source: Alexandria via LeMat-Bulk
Functional: meta-GGA SCAN
Structure: PBEsol geometry

a = 8.697 Å, b = 8.697 Å, c = 8.697 Å
α = 90.00°, β = 90.00°, γ = 90.00°
Space group I-43m (No. 217)
Inequivalent atoms, fractional coordinates:
Mg: 0.210 0.210 0.790 x8
Zn: 0.000 0.000 0.352 x12
Zn: 0.000 0.250 0.500 x12
Zn: 0.108 0.108 0.108 x8

Properties
Excess energy over the best structure of this formula in the dataset: 1.0 kJ per mole of atoms
ΔE_f: -0.019 eV per atom



Compound: BaTe2As
Source: Alexandria via LeMat-Bulk
Functional: meta-GGA SCAN
Structure: PBEsol geometry

a = 4.631 Å, b = 4.631 Å, c = 10.821 Å
α = 90.00°, β = 90.00°, γ = 90.00°
Space group I-4m2 (No. 119)
Inequivalent atoms, fractional coordinates:
Ba: 0.000 0.000 0.000 x2
Te: 0.000 0.000 0.500 x2
Te: 0.000 0.500 0.250 x2
As: 0.000 0.500 0.750 x2

Properties
Formation energy without anion corrections: -512 meV/atom



Compound: EuGaSi
Source: Alexandria via LeMat-Bulk
Functional: meta-GGA SCAN
Structure: PBEsol geometry

a = 4.1254 Å, b = 4.1254 Å, c = 4.2866 Å
α = 90.00°, β = 90.00°, γ = 120.00°
Space group P-6m2 (No. 187)
Inequivalent atoms, fractional coordinates:
Eu: 0.0000 0.0000 0.0000 x1
Ga: 0.6667 0.3333 0.5000 x1
Si: 0.3333 0.6667 0.5000 x1

Properties
Formation energy without anion corrections: -597 meV/atom



Compound: Li3Co4B4O12
Source: Alexandria via LeMat-Bulk
Functional: meta-GGA SCAN
Structure: PBEsol geometry

a = 5.130 Å, b = 8.894 Å, c = 10.961 Å
α = 90.00°, β = 117.55°, γ = 90.00°
Space group Pc (No. 7)
Inequivalent atoms, fractional coordinates:
Li: 0.000 0.247 0.000 x2
Li: 0.051 0.249 0.727 x2
Li: 0.497 0.249 0.499 x2
Co: 0.047 0.416 0.228 x2
Co: 0.475 0.419 0.981 x2
Co: 0.535 0.069 0.720 x2
Co: 0.962 0.081 0.463 x2
B: 0.034 0.088 0.215 x2
B: 0.455 0.090 0.964 x2
B: 0.542 0.409 0.719 x2
B: 0.969 0.411 0.474 x2
O: 0.134 0.047 0.686 x2
O: 0.142 0.221 0.198 x2
O: 0.198 0.409 0.437 x2
O: 0.303 0.221 0.948 x2
O: 0.316 0.421 0.754 x2
O: 0.369 0.043 0.503 x2
O: 0.649 0.464 0.182 x2
O: 0.651 0.271 0.708 x2
O: 0.696 0.086 0.938 x2
O: 0.823 0.081 0.260 x2
O: 0.862 0.279 0.497 x2
O: 0.866 0.451 0.993 x2

Properties
Formation energy without anion corrections: -2033 meV/atom



Compound: Be2AgRu
Source: Alexandria via LeMat-Bulk
Functional: meta-GGA SCAN
Structure: PBEsol geometry

a = 6.048 Å, b = 6.048 Å, c = 5.350 Å
α = 90.00°, β = 90.00°, γ = 90.00°
Space group I-42d (No. 122)
Inequivalent atoms, fractional coordinates:
Be: 0.239 0.750 0.125 x8
Ag: 0.000 0.000 0.500 x4
Ru: 0.000 0.000 0.000 x4

Properties
ΔE_f: 0.314 eV per atom



Final energy: -24.57; -48.45; -11.50; -26.95; -23.09; -11.83; -34.07; -27.29; -9.90; -18.41 (eV per atom)